# PBE Be2GeH, optimized geometry
# Uncorrected energy = -3.546 eV per atom
# Volume = 159.0 Å³ per cell
# Total magnetization = 0.00 μB/f.u.
# N(E_F) = 1.80 states/eV/cell
data_Be2GeH
_chemical_formula_sum 'Be8 Ge4 H4'
_symmetry_space_group_name_H-M 'I 41/a m d'
_symmetry_Int_Tables_number 141
_cell_length_a 4.045
_cell_length_b 4.045
_cell_length_c 9.716
_cell_angle_alpha 90.00
_cell_angle_beta 90.00
_cell_angle_gamma 90.00
loop_
_symmetry_equiv_pos_as_xyz
'x,y,z'
'-x,-y,-z'
'-y+1/4,x+3/4,z+1/4'
'y+1/4,-x+3/4,-z+1/4'
'-x+1/2,-y,z+1/2'
'x+1/2,y,-z+1/2'
'y+1/4,-x+1/4,z+3/4'
'-y+1/4,x+1/4,-z+3/4'
'x,-y,-z'
'-x,y,z'
'-y+1/4,-x+1/4,-z+3/4'
'y+1/4,x+1/4,z+3/4'
'-x+1/2,y,-z+1/2'
'x+1/2,-y,z+1/2'
'y+1/4,x+3/4,-z+1/4'
'-y+1/4,-x+3/4,z+1/4'
'x+1/2,y+1/2,z+1/2'
'-x+1/2,-y+1/2,-z+1/2'
'-y+3/4,x+1/4,z+3/4'
'y+3/4,-x+1/4,-z+3/4'
'-x,-y+1/2,z'
'x,y+1/2,-z'
'y+3/4,-x+3/4,z+1/4'
'-y+3/4,x+3/4,-z+1/4'
'x+1/2,-y+1/2,-z+1/2'
'-x+1/2,y+1/2,z+1/2'
'-y+3/4,-x+3/4,-z+1/4'
'y+3/4,x+3/4,z+1/4'
'-x,y+1/2,-z'
'x,-y+1/2,z'
'y+3/4,x+1/4,-z+3/4'
'-y+3/4,-x+1/4,z+3/4'
loop_
_atom_site_label
_atom_site_type_symbol
_atom_site_fract_x
_atom_site_fract_y
_atom_site_fract_z
Be1 Be 0.000 0.000 0.000
Ge1 Ge 0.000 0.250 0.375
H1 H 0.000 0.250 0.875